No. 1
This record from Alexandria describes CaLaNi2H6 after structural relaxation. The functional is PBE.

The structure in POSCAR format:
```
CaLaNi2H6
1.0
4.7119 0.0000 0.0000
2.3559 4.0806 0.0000
2.3559 1.3602 5.6003
Ca La Ni H
1 1 2 6
Direct
0.5000 0.5000 0.5000
0.0000 0.0000 0.0000
0.7824 0.7824 0.6529
0.2176 0.2176 0.3471
0.0473 0.5709 0.8109
0.5709 0.0473 0.8109
0.4291 0.4291 0.1891
0.9527 0.4291 0.1891
0.4291 0.9527 0.1891
0.5709 0.5709 0.8109
```

Output
Symmetry   R-3m, No. 166
Crystal system   trigonal
Total energy   -4.142 eV per atom

---

No. 2
This record from Alexandria describes CrAg6 after structural relaxation. The functional is PBE.

The structure in POSCAR format:
```
CrAg6
1.0
-1.7366 -6.1786 -0.4249
4.9477 0.5614 4.0714
-4.9604 3.4775 2.1615
Cr Ag
1 6
Direct
0.0000 0.0000 0.0000
0.2500 0.7500 0.5000
0.5000 0.7500 0.2500
0.2500 0.5000 0.7500
0.7500 0.2500 0.5000
0.5000 0.2500 0.7500
0.7500 0.5000 0.2500
```

Output
Symmetry   Im-3m, No. 229
Crystal system   cubic
Total energy   -2.805 eV per atom

---

No. 3
This record from Alexandria describes TbEr3Al2 after structural relaxation. The functional is PBE.

The structure in POSCAR format:
```
TbEr3Al2
1.0
-1.0325 4.9175 -1.1494
-7.7226 -3.9295 1.6835
5.7936 2.6809 6.2654
Tb Er Al
2 6 4
Direct
0.8689 0.7379 0.9168
0.1311 0.2621 0.0832
0.3132 0.6265 0.6182
0.9400 0.8801 0.5959
0.6175 0.2351 0.6999
0.3825 0.7649 0.3001
0.0600 0.1199 0.4041
0.6868 0.3735 0.3818
0.5254 0.0508 0.8905
0.4746 0.9492 0.1095
0.7661 0.5323 0.1325
0.2339 0.4677 0.8675
```

Output
Symmetry   C2/m, No. 12
Crystal system   monoclinic
Polymorph energy (0 for the lowest one)   0.618 eV per formula unit

---

The calculation returns the following theoretical density values, one per record and in order: 4.66 5.67 7.57 g cm⁻³.